a:
TbSi2Ni2 (PBE, relaxed); total magnetic moment = 0.00 Bohr magnetons per cell; volume = 15.11 A^3/atom; space-group type = I4/mmm, No. 139
1.0
5.536 0.001 0.000
2.671 4.849 0.000
-4.103 -2.425 2.815
Ni Tb Si
2 1 2
Direct
0.750 0.250 0.500 Ni
0.250 0.750 0.500 Ni
0.000 0.000 0.000 Tb
0.627 0.627 0.000 Si
0.373 0.373 0.000 Si



b:
TbSi2Ni2 (PBE, relaxed); total magnetic moment = 0.00 Bohr magnetons per cell; volume = 15.18 A^3/atom; space-group type = P4/mmm, No. 123
1.0
3.922 0.000 0.000
0.000 3.922 0.000
0.000 0.000 4.932
Tb Si Ni
1 2 2
Direct
0.000 0.000 0.000 Tb
0.500 0.500 0.241 Si
0.500 0.500 0.759 Si
0.500 0.000 0.500 Ni
0.000 0.500 0.500 Ni



Most stable: a (next structure +0.071 eV/atom)



a:
Tb2Si3Ni2 (PBE, relaxed); total magnetic moment = 0.00 Bohr magnetons per cell; volume = 16.42 A^3/atom; space-group type = C2/m, No. 12
1.0
-0.661 -3.236 2.255
5.242 0.516 -1.269
-1.933 3.734 4.792
Si Ni Tb
3 2 2
Direct
0.500 0.000 0.000 Si
0.614 0.228 0.438 Si
0.386 0.772 0.562 Si
0.863 0.725 0.752 Ni
0.137 0.275 0.248 Ni
0.851 0.701 0.220 Tb
0.149 0.299 0.780 Tb



b:
Tb2Si3Ni2 (PBE, relaxed); total magnetic moment = 0.00 Bohr magnetons per cell; volume = 16.75 A^3/atom; space-group type = Cmcm, No. 63
1.0
-3.773 1.252 0.991
-2.328 -6.064 -1.203
3.328 -2.818 7.764
Si Tb Ni
6 4 4
Direct
0.564 0.433 0.127 Si
0.436 0.933 0.873 Si
0.777 0.250 0.554 Si
0.436 0.567 0.873 Si
0.564 0.067 0.127 Si
0.223 0.750 0.446 Si
0.053 0.750 0.105 Tb
0.947 0.250 0.895 Tb
0.158 0.250 0.317 Tb
0.842 0.750 0.683 Tb
0.305 0.054 0.611 Ni
0.695 0.554 0.389 Ni
0.695 0.946 0.389 Ni
0.305 0.446 0.611 Ni



Most stable: b (next structure +0.122 eV/atom)



a:
TbSi2Ni10 (PBE, relaxed); total magnetic moment = 0.00 Bohr magnetons per cell; volume = 12.06 A^3/atom; space-group type = P4/nmm, No. 129
1.0
8.186 0.000 0.000
0.000 8.186 0.000
0.000 0.000 4.681
Ni Tb Si
20 2 4
Direct
0.500 0.647 0.762 Ni
0.500 0.776 0.272 Ni
0.000 0.276 0.728 Ni
0.724 0.000 0.272 Ni
0.000 0.724 0.728 Ni
0.776 0.500 0.728 Ni
0.750 0.250 0.000 Ni
0.353 0.500 0.238 Ni
0.147 0.000 0.762 Ni
0.853 0.000 0.762 Ni
0.224 0.500 0.728 Ni
0.500 0.353 0.762 Ni
0.250 0.250 0.000 Ni
0.000 0.147 0.238 Ni
0.750 0.750 0.000 Ni
0.000 0.853 0.238 Ni
0.500 0.224 0.272 Ni
0.250 0.750 0.000 Ni
0.647 0.500 0.238 Ni
0.276 0.000 0.272 Ni
0.500 0.000 0.780 Tb
0.000 0.500 0.220 Tb
0.750 0.250 0.500 Si
0.250 0.250 0.500 Si
0.750 0.750 0.500 Si
0.250 0.750 0.500 Si



b:
TbSi2Ni10 (PBE, relaxed); total magnetic moment = 0.78 Bohr magnetons per cell; volume = 12.38 A^3/atom; space-group type = Immm, No. 71
1.0
-2.369 4.044 4.198
2.369 -4.044 4.198
2.369 4.044 -4.198
Si Ni Tb
2 10 1
Direct
0.345 0.345 0.000 Si
0.655 0.655 0.000 Si
0.226 0.726 0.500 Ni
0.500 0.000 0.000 Ni
0.256 0.500 0.756 Ni
0.650 0.000 0.650 Ni
0.500 0.500 0.500 Ni
0.744 0.500 0.244 Ni
0.350 0.000 0.350 Ni
0.774 0.274 0.500 Ni
0.000 0.000 0.500 Ni
0.000 0.500 0.000 Ni
0.000 0.000 0.000 Tb



c:
TbSi2Ni10 (PBE, relaxed); total magnetic moment = 0.00 Bohr magnetons per cell; volume = 12.15 A^3/atom; space-group type = Fmmm, No. 69
1.0
4.450 0.000 1.814
2.225 5.805 0.907
0.087 0.000 6.151
Si Ni Tb
2 10 1
Direct
0.500 0.500 0.000 Si
0.000 0.500 0.000 Si
0.005 0.646 0.343 Ni
0.726 0.769 0.779 Ni
0.500 0.000 0.500 Ni
0.000 0.000 0.500 Ni
0.995 0.354 0.657 Ni
0.651 0.354 0.343 Ni
0.495 0.231 0.779 Ni
0.274 0.231 0.221 Ni
0.349 0.646 0.657 Ni
0.505 0.769 0.221 Ni
0.000 0.000 0.000 Tb



Most stable: a (next structure +0.088 eV/atom)



a:
TbSiNi4 (PBE, relaxed); total magnetic moment = 0.00 Bohr magnetons per cell; volume = 13.96 A^3/atom; space-group type = Pmma, No. 51
1.0
-2.313 1.303 -2.432
-5.006 -1.482 3.966
0.470 6.420 2.992
Ni Tb Si
8 2 2
Direct
0.500 0.961 0.750 Ni
0.000 0.000 0.000 Ni
0.500 0.711 0.441 Ni
0.500 0.289 0.941 Ni
0.500 0.711 0.059 Ni
0.500 0.039 0.250 Ni
0.000 0.000 0.500 Ni
0.500 0.289 0.559 Ni
0.000 0.635 0.750 Tb
0.000 0.365 0.250 Tb
0.000 0.797 0.250 Si
0.000 0.203 0.750 Si



b:
TbSiNi4 (PBE, relaxed); total magnetic moment = 0.00 Bohr magnetons per cell; volume = 13.70 A^3/atom; space-group type = Cmmm, No. 65
1.0
4.822 -0.005 0.000
-2.147 4.318 0.000
0.000 0.000 3.948
Ni Tb Si
4 1 1
Direct
0.658 0.342 0.000 Ni
0.500 0.000 0.500 Ni
0.000 0.500 0.500 Ni
0.342 0.658 0.000 Ni
0.000 0.000 0.000 Tb
0.500 0.500 0.500 Si



Most stable: b (next structure +0.126 eV/atom)



a:
TbTmSiNi (PBE, relaxed); total magnetic moment = 0.00 Bohr magnetons per cell; volume = 20.31 A^3/atom; space-group type = F-43m, No. 216
1.0
-2.280 -0.977 -4.181
-3.534 -3.336 -0.119
-4.620 1.375 -0.628
Ni Tm Tb Si
1 1 1 1
Direct
0.250 0.250 0.250 Ni
0.500 0.500 0.500 Tm
0.000 0.000 0.000 Tb
0.750 0.750 0.750 Si



b:
TbTmSiNi (PBE, relaxed); total magnetic moment = 0.00 Bohr magnetons per cell; volume = 20.99 A^3/atom; space-group type = Amm2, No. 38
1.0
3.943 0.000 0.000
0.000 4.035 0.000
-1.971 0.000 5.277
Tb Si Ni Tm
1 1 1 1
Direct
0.858 0.500 0.715 Tb
0.570 0.500 0.139 Si
0.435 0.000 0.870 Ni
0.138 0.000 0.276 Tm



Most stable: b (next structure +0.161 eV/atom)



a:
TbYSiNi (PBE, relaxed); total magnetic moment = 0.00 Bohr magnetons per cell; volume = 21.50 A^3/atom; space-group type = Amm2, No. 38
1.0
-2.529 2.408 1.934
-0.317 -2.720 2.971
5.369 1.078 1.560
Si Y Ni Tb
1 1 1 1
Direct
0.568 0.500 0.136 Si
0.140 0.000 0.279 Y
0.433 0.000 0.867 Ni
0.859 0.500 0.719 Tb



b:
TbYSiNi (PBE, relaxed); total magnetic moment = 0.00 Bohr magnetons per cell; volume = 20.87 A^3/atom; space-group type = F-43m, No. 216
1.0
4.905 0.000 0.000
2.453 4.248 0.000
2.453 1.416 4.005
Y Tb Ni Si
1 1 1 1
Direct
0.500 0.500 0.500 Y
0.000 0.000 0.000 Tb
0.250 0.250 0.250 Ni
0.750 0.750 0.750 Si



Most stable: a (next structure +0.168 eV/atom)